# 1
Entry from the Alexandria database: an optimized crystal structure of Tb3Dy6In (PBE).

a b c (Å): 9.636 5.557 12.391
angles (deg): 90.00 110.75 90.00
Space group P2_1/m (No. 11)
Asymmetric unit:
Tb (0.025, 0.250, 0.370) (multiplicity 2)
Tb (0.100, 0.750, 0.221) (multiplicity 2)
Tb (0.272, 0.250, 0.973) (multiplicity 2)
Dy (0.039, 0.750, 0.930) (multiplicity 2)
Dy (0.192, 0.250, 0.669) (multiplicity 2)
Dy (0.260, 0.750, 0.511) (multiplicity 2)
Dy (0.346, 0.250, 0.299) (multiplicity 2)
Dy (0.348, 0.750, 0.826) (multiplicity 2)
Dy (0.426, 0.750, 0.138) (multiplicity 2)
In (0.468, 0.250, 0.584) (multiplicity 2)

Summary:
total magnetic moment: 0.00 μB/f.u.
energy relative to the elements: -0.070 eV/atom
polymorph energy (0 for the lowest one): 0 meV per atom

=====

# 2
Entry from the Alexandria database: an optimized crystal structure of PrNdTmAl (PBE).

a b c (Å): 7.715 7.715 7.715
angles (deg): 90.00 90.00 90.00
Space group F-43m (No. 216)
Asymmetric unit:
Pr (0.000, 0.000, 0.000) (multiplicity 4)
Nd (0.000, 0.000, 0.500) (multiplicity 4)
Tm (0.250, 0.250, 0.750) (multiplicity 4)
Al (0.250, 0.250, 0.250) (multiplicity 4)

Summary:
total magnetic moment: 0.00 μB/f.u.
energy relative to the elements: -0.070 eV/atom
polymorph energy (0 for the lowest one): 104 meV per atom

=====

# 3
Entry from the Alexandria database: an optimized crystal structure of BaTmAu2 (PBE).

a b c (Å): 5.416 5.416 3.669
angles (deg): 90.00 90.00 90.00
Space group P4/mmm (No. 123)
Asymmetric unit:
Ba (0.000, 0.000, 0.000) (multiplicity 1)
Tm (0.500, 0.500, 0.000) (multiplicity 1)
Au (0.000, 0.500, 0.500) (multiplicity 2)

Summary:
total magnetic moment: 0.00 μB/f.u.
energy relative to the elements: -0.621 eV/atom
polymorph energy (0 for the lowest one): 133 meV per atom

=====

# 4
Entry from the Alexandria database: an optimized crystal structure of BeCr2BiTe (PBE).

a b c (Å): 4.727 4.727 4.780
angles (deg): 90.00 90.00 90.00
Space group P4/mmm (No. 123)
Asymmetric unit:
Be (0.000, 0.000, 0.000) (multiplicity 1)
Cr (0.000, 0.500, 0.000) (multiplicity 2)
Bi (0.000, 0.000, 0.500) (multiplicity 1)
Te (0.500, 0.500, 0.500) (multiplicity 1)

Summary:
total magnetic moment: 7.43 μB/f.u.
raw formation energy: 3.73 eV/f.u.

=====

# 5
Entry from the Alexandria database: an optimized crystal structure of Hf6Sb3N (PBE).

a b c (Å): 10.976 14.587 5.259
angles (deg): 90.00 90.00 90.00
Space group Cmc2_1 (No. 36)
Asymmetric unit:
Hf (0.000, 0.065, 0.000) (multiplicity 4)
Hf (0.000, 0.253, 0.527) (multiplicity 4)
Hf (0.167, 0.422, 0.423) (multiplicity 8)
Hf (0.169, 0.248, 0.031) (multiplicity 8)
Sb (0.000, 0.416, 0.908) (multiplicity 4)
Sb (0.178, 0.090, 0.411) (multiplicity 8)
N (0.000, 0.197, 0.884) (multiplicity 4)

Summary:
total magnetic moment: 0.00 μB/f.u.
raw formation energy: -5.37 eV/f.u.

=====

# 6
Entry from the Alexandria database: an optimized crystal structure of La8AsIr3Br3 (PBE).

a b c (Å): 8.5905 8.5905 22.3823
angles (deg): 90.00 90.00 120.00
Space group R-3m (No. 166, hexagonal axes)
Asymmetric unit:
La (0.0000, 0.0000, 0.2349) (multiplicity 6)
La (0.0171, 0.5085, 0.7637) (multiplicity 18)
As (0.0000, 0.0000, 0.5000) (multiplicity 3)
Ir (0.0000, 0.5000, 0.5000) (multiplicity 9)
Br (0.0000, 0.5000, 0.0000) (multiplicity 9)

Summary:
total magnetic moment: 0.00 μB/f.u.
raw formation energy: -16.88 eV/f.u.